(1)
Tl3Ag5S12 (GGA-PBE, optimized geometry); spin magnetization = 0.00 μB per formula unit; theoretical density = 5.26 g cm⁻³; formation energy without anion corrections = 279.6 meV per atom
1.0
13.609 0.000 0.000
-4.536 12.830 0.000
-4.536 -6.415 11.111
S Ag Tl
48 20 12
direct
0.384 0.355 0.549
0.116 0.951 0.145
0.384 0.030 0.335
0.355 0.384 0.049
0.145 0.451 0.116
0.451 0.145 0.616
0.530 0.195 0.145
0.030 0.645 0.695
0.195 0.530 0.645
0.165 0.116 0.970
0.616 0.645 0.451
0.335 0.530 0.384
0.305 0.451 0.835
0.695 0.145 0.030
0.470 0.805 0.855
0.549 0.855 0.384
0.305 0.855 0.970
0.645 0.616 0.951
0.049 0.165 0.195
0.116 0.165 0.470
0.805 0.335 0.951
0.855 0.305 0.470
0.549 0.695 0.665
0.470 0.665 0.116
0.835 0.951 0.305
0.884 0.835 0.530
0.645 0.030 0.195
0.145 0.695 0.530
0.835 0.884 0.030
0.049 0.884 0.355
0.616 0.970 0.665
0.970 0.355 0.305
0.695 0.549 0.165
0.805 0.470 0.355
0.665 0.470 0.616
0.195 0.665 0.049
0.665 0.195 0.549
0.855 0.549 0.884
0.884 0.049 0.855
0.451 0.305 0.335
0.951 0.835 0.805
0.970 0.616 0.165
0.355 0.970 0.805
0.165 0.049 0.695
0.530 0.335 0.884
0.030 0.384 0.835
0.335 0.805 0.451
0.951 0.116 0.645
0.500 0.500 0.500
0.500 0.500 0.000
0.250 0.375 0.625
0.625 0.875 0.250
0.125 0.750 0.375
0.875 0.625 0.750
0.500 0.000 0.000
0.875 0.250 0.625
0.000 0.000 0.000
0.125 0.375 0.250
0.500 0.000 0.500
0.750 0.625 0.375
0.625 0.750 0.875
0.375 0.125 0.750
0.000 0.500 0.000
0.375 0.250 0.125
0.000 0.500 0.500
0.250 0.875 0.125
0.000 0.000 0.500
0.750 0.125 0.875
0.375 0.750 0.625
0.625 0.375 0.750
0.750 0.375 0.125
0.125 0.875 0.750
0.125 0.250 0.875
0.875 0.750 0.125
0.875 0.125 0.250
0.250 0.125 0.375
0.250 0.625 0.875
0.750 0.875 0.625
0.625 0.250 0.375
0.375 0.625 0.250

(2)
CaScHg4 (GGA-PBE, optimized geometry); spin magnetization = 0.00 μB per formula unit; theoretical density = 10.03 g cm⁻³; ΔH_f (0 K) = -84 kJ/mol of formula units
1.0
-3.165 -4.929 -0.868
-5.822 -0.009 1.083
-3.847 -0.296 -4.493
Hg Sc Ca
4 1 1
direct
0.375 0.375 0.375
0.874 0.375 0.375
0.375 0.375 0.874
0.375 0.874 0.375
0.750 0.750 0.750
0.000 0.000 0.000

(3)
Ni5Se8Cl (GGA-PBE, optimized geometry); spin magnetization = 0.00 μB per formula unit; theoretical density = 6.19 g cm⁻³; formation energy without anion corrections = -246.5 meV per atom
1.0
3.564 0.000 -0.697
-0.377 7.544 -1.930
0.002 0.402 9.472
Se Cl Ni
8 1 5
direct
0.233 0.150 0.466
0.174 0.506 0.348
0.909 0.181 0.817
0.569 0.160 0.137
0.767 0.850 0.534
0.091 0.818 0.183
0.431 0.840 0.863
0.826 0.493 0.652
0.500 0.503 0.000
0.000 0.000 0.000
0.342 0.022 0.685
0.702 0.332 0.404
0.657 0.978 0.315
0.298 0.668 0.596

(4)
Tb2DySb (GGA-PBE, optimized geometry); spin magnetization = 0.00 μB per formula unit; theoretical density = 9.10 g cm⁻³; formation energy without anion corrections = -489.4 meV per atom
1.0
-3.606 -2.882 -1.285
3.076 -3.638 -0.476
-0.690 -1.183 4.588
Dy Tb Sb
1 2 1
direct
0.500 0.500 0.500
0.000 0.000 0.500
0.000 0.500 0.000
0.500 0.000 0.000

(5)
Zr3Cu4 (GGA-PBE, optimized geometry); spin magnetization = 0.17 μB per formula unit; theoretical density = 7.45 g cm⁻³; ΔH_f (0 K) = -89 kJ/mol of formula units
1.0
3.313 0.000 0.000
-1.656 10.850 0.003
0.000 0.505 3.274
Zr Cu
3 4
direct
0.000 0.000 0.000
0.703 0.405 0.297
0.297 0.595 0.703
0.129 0.258 0.871
0.871 0.742 0.129
0.428 0.856 0.572
0.572 0.144 0.428

(6)
SrMg2Ni (GGA-PBE, optimized geometry); spin magnetization = 0.00 μB per formula unit; theoretical density = 3.49 g cm⁻³; ΔH_f (0 K) = 17 kJ/mol of formula units
1.0
3.338 0.015 0.000
-0.013 3.338 0.000
0.000 0.000 8.326
Sr Ni Mg
1 1 2
direct
0.500 0.500 0.750
0.500 0.500 0.250
0.000 0.000 0.080
0.000 0.000 0.420

(7)
NdCuRh (GGA-PBE, optimized geometry); spin magnetization = 0.00 μB per formula unit; theoretical density = 9.40 g cm⁻³; ΔH_f (0 K) = -137 kJ/mol of formula units
1.0
-3.196 -3.830 0.168
0.904 -3.843 3.708
-3.414 -0.220 4.200
Cu Nd Rh
2 2 2
direct
0.500 0.000 0.000
0.000 0.000 0.000
0.878 0.372 0.372
0.122 0.628 0.628
0.500 0.000 0.500
0.500 0.500 0.000

(8)
La8Pr2Cd (GGA-PBE, optimized geometry); spin magnetization = 0.00 μB per formula unit; theoretical density = 6.34 g cm⁻³; ΔH_f (0 K) = -1 kJ/mol of formula units
1.0
5.553 0.000 -1.596
-1.083 8.240 -3.766
-0.393 -0.732 9.090
La Pr Cd
8 2 1
direct
0.322 0.067 0.644
0.423 0.575 0.846
0.577 0.425 0.154
0.878 0.844 0.757
0.927 0.283 0.854
0.678 0.933 0.356
0.122 0.156 0.243
0.073 0.717 0.146
0.766 0.398 0.532
0.234 0.602 0.468
0.500 0.000 0.000